DFT (GGA-PBE) results for crystalline Rb2BaNb at its relaxed geometry.

The structure in extended XYZ format:
```
4
Lattice="0.796 -2.242 6.156 -3.840 2.274 4.862 -4.571 -3.919 2.702" Properties=species:S:1:pos:R:3 pbc="T T T"
Nb 0.000 0.000 0.000
Ba -3.807 -1.944 6.860
Rb -1.904 -0.972 3.430
Rb -5.711 -2.915 10.290
```

uncorrected energy: -2.27 eV per atom
symmetry: Fm-3m, No. 225
DFT formation energy: 468.5 kJ/mol of formula units